No. 1
The following is a PBE calculation of a relaxed MgTa2Al crystal, from the Alexandria database.

Summary:
- Formation energy: 1.14 kcal/mol of atoms
- DOS(E_F): 2.0 states/eV/cell
- Offset from the most stable computed form: 0.029 eV/atom

Cell: 5.253 5.253 5.253 Å, 135.12 135.12 65.34°
Sites, in units of the cell vectors:
Mg 0.000 0.000 0.000
Ta 0.250 0.750 0.500
Ta 0.750 0.250 0.500
Al 0.500 0.500 0.000

No. 2
The following is a PBE calculation of a relaxed Mg2TaAl crystal, from the Alexandria database.

Summary:
- Formation energy: 3.74 kcal/mol of atoms
- DOS(E_F): 2.0 states/eV/cell
- Offset from the most stable computed form: 0.117 eV/atom

Cell: 5.571 5.571 5.571 Å, 138.73 138.73 59.78°
Sites, in units of the cell vectors:
Mg 0.250 0.750 0.500
Mg 0.750 0.250 0.500
Ta 0.000 0.000 0.000
Al 0.500 0.500 0.000

No. 3
The following is a PBE calculation of a relaxed Mg3TaAl crystal, from the Alexandria database.

Summary:
- Formation energy: 32.26 kcal/mol of atoms
- DOS(E_F): 5.1 states/eV/cell
- Offset from the most stable computed form: 0.224 eV/atom

Cell: 5.438 5.438 5.438 Å, 90.00 90.00 90.00°
Sites, in units of the cell vectors:
Mg 0.000 0.000 0.500
Mg 0.000 0.500 0.000
Mg 0.500 0.000 0.000
Ta 0.000 0.000 0.000
Al 0.500 0.500 0.500

No. 4
The following is a PBE calculation of a relaxed Mg2TaAl crystal, from the Alexandria database.

Summary:
- Formation energy: 2.37 kcal/mol of atoms
- DOS(E_F): 1.3 states/eV/cell
- Offset from the most stable computed form: 0.058 eV/atom

Cell: 4.076 4.076 4.370 Å, 90.00 90.00 90.00°
Sites, in units of the cell vectors:
Mg 0.000 0.500 0.000
Mg 0.500 0.000 0.000
Ta 0.000 0.000 0.500
Al 0.500 0.500 0.500

> Look up the DOS(E_F) of the second one.

2.0 states/eV/cell